{"formula": "Li4Mn5Sn3O16", "functional": "GGA+U", "state": "optimized geometry", "lattice_angstrom": [[-1.147, -5.596, 2.117], [1.753, -4.858, -3.230], [8.719, -0.042, 4.722]], "species": ["O", "O", "O", "O", "O", "O", "O", "O", "O", "O", "O", "O", "O", "O", "O", "O", "Li", "Li", "Li", "Li", "Sn", "Sn", "Sn", "Mn", "Mn", "Mn", "Mn", "Mn"], "fractional_positions": [[0.315, 0.852, 0.107], [0.515, 0.515, 0.827], [0.480, 0.480, 0.338], [0.010, 0.010, 0.811], [0.005, 0.005, 0.319], [0.028, 0.469, 0.334], [0.163, 0.163, 0.612], [0.692, 0.166, 0.603], [0.657, 0.657, 0.607], [0.845, 0.845, 0.094], [0.469, 0.028, 0.334], [0.504, 0.962, 0.830], [0.852, 0.315, 0.107], [0.322, 0.322, 0.102], [0.166, 0.692, 0.603], [0.962, 0.504, 0.830], [0.659, 0.659, 0.392], [0.016, 0.016, 0.994], [0.325, 0.325, 0.880], [0.014, 0.014, 0.501], [0.831, 0.831, 0.714], [0.164, 0.660, 0.215], [0.660, 0.164, 0.215], [0.829, 0.338, 0.715], [0.338, 0.829, 0.715], [0.660, 0.660, 0.991], [0.165, 0.165, 0.218], [0.331, 0.331, 0.498]], "dft_energy_ev_per_atom": -6.54}